Arrangement a

Al2ZnTe4 after structural relaxation. Source: Alexandria, functional GGA-PBE.

a b c (Å): 5.981 5.981 6.143
angles (deg): 90.00 90.00 90.00
Space group P-42m (No. 111)
Asymmetric unit:
Al (0.000, 0.500, 0.000) (multiplicity 2)
Zn (0.000, 0.000, 0.500) (multiplicity 1)
Te (0.267, 0.267, 0.736) (multiplicity 4)

Computed properties:
DOS(E_F): 0.000 states/eV per atom

=====

Arrangement b

Al2ZnTe4 after structural relaxation. Source: Alexandria, functional GGA-PBE.

a b c (Å): 6.082 6.082 11.982
angles (deg): 90.00 90.00 90.00
Space group I-4 (No. 82)
Asymmetric unit:
Al (0.000, 0.000, 0.000) (multiplicity 2)
Al (0.000, 0.500, 0.250) (multiplicity 2)
Zn (0.000, 0.500, 0.750) (multiplicity 2)
Te (0.235, 0.240, 0.383) (multiplicity 8)

Computed properties:
DOS(E_F): 0.000 states/eV per atom

=====

arrangement b takes first place; second place is 0.008 eV/atom up.

=====

Arrangement a

Al3ZnTe after structural relaxation. Source: Alexandria, functional GGA-PBE.

a b c (Å): 5.407 5.407 5.407
angles (deg): 90.00 90.00 90.00
Space group Pm-3m (No. 221)
Asymmetric unit:
Al (0.000, 0.000, 0.500) (multiplicity 3)
Zn (0.500, 0.500, 0.500) (multiplicity 1)
Te (0.000, 0.000, 0.000) (multiplicity 1)

Computed properties:
DOS(E_F): 0.600 states/eV per atom

=====

Arrangement b

Al3ZnTe after structural relaxation. Source: Alexandria, functional GGA-PBE.

a b c (Å): 4.843 4.843 4.843
angles (deg): 90.00 90.00 90.00
Space group Pm-3m (No. 221)
Asymmetric unit:
Al (0.000, 0.000, 0.500) (multiplicity 3)
Zn (0.000, 0.000, 0.000) (multiplicity 1)
Te (0.500, 0.500, 0.500) (multiplicity 1)

Computed properties:
DOS(E_F): 0.332 states/eV per atom

=====

arrangement b takes first place; second place is 0.718 eV/atom up.

=====

Arrangement a

Al2Zn2Te after structural relaxation. Source: Alexandria, functional GGA-PBE.

a b c (Å): 4.067 4.067 12.010
angles (deg): 90.00 90.00 90.00
Space group I4/mmm (No. 139)
Asymmetric unit:
Al (0.000, 0.500, 0.250) (multiplicity 4)
Zn (0.000, 0.000, 0.105) (multiplicity 4)
Te (0.000, 0.000, 0.500) (multiplicity 2)

Computed properties:
DOS(E_F): 0.467 states/eV per atom

=====

Arrangement b

Al2Zn2Te after structural relaxation. Source: Alexandria, functional GGA-PBE.

a b c (Å): 7.986 7.986 3.069
angles (deg): 90.00 90.00 90.00
Space group P4/mbm (No. 127)
Asymmetric unit:
Al (0.185, 0.315, 0.000) (multiplicity 4)
Zn (0.115, 0.615, 0.500) (multiplicity 4)
Te (0.000, 0.000, 0.500) (multiplicity 2)

Computed properties:
DOS(E_F): 0.319 states/eV per atom

=====

arrangement a takes first place; second place is 0.025 eV/atom up.

=====

Arrangement a

AlZn3Te after structural relaxation. Source: Alexandria, functional GGA-PBE.

a b c (Å): 4.933 4.933 4.933
angles (deg): 90.00 90.00 90.00
Space group Pm-3m (No. 221)
Asymmetric unit:
Al (0.000, 0.000, 0.000) (multiplicity 1)
Zn (0.000, 0.000, 0.500) (multiplicity 3)
Te (0.500, 0.500, 0.500) (multiplicity 1)

Computed properties:
DOS(E_F): 0.936 states/eV per atom

=====

Arrangement b

AlZn3Te after structural relaxation. Source: Alexandria, functional GGA-PBE.

a b c (Å): 5.310 5.310 5.310
angles (deg): 90.00 90.00 90.00
Space group Pm-3m (No. 221)
Asymmetric unit:
Al (0.000, 0.000, 0.000) (multiplicity 1)
Zn (0.000, 0.500, 0.500) (multiplicity 3)
Te (0.500, 0.500, 0.500) (multiplicity 1)

Computed properties:
DOS(E_F): 0.695 states/eV per atom

=====

arrangement a takes first place; second place is 0.374 eV/atom up.

=====

Arrangement a

ZrAlTe3 after structural relaxation. Source: Alexandria, functional GGA-PBE.

a b c (Å): 5.632 5.632 5.632
angles (deg): 90.00 90.00 90.00
Space group Pm-3m (No. 221)
Asymmetric unit:
Zr (0.000, 0.000, 0.000) (multiplicity 1)
Al (0.500, 0.500, 0.500) (multiplicity 1)
Te (0.000, 0.000, 0.500) (multiplicity 3)

Computed properties:
DOS(E_F): 0.405 states/eV per atom

=====

Arrangement b

ZrAlTe3 after structural relaxation. Source: Alexandria, functional GGA-PBE.

a b c (Å): 4.056 24.853 7.070
angles (deg): 90.00 90.00 90.00
Space group Ama2 (No. 40)
Asymmetric unit:
Zr (0.250, 0.174, 0.000) (multiplicity 4)
Al (0.250, 0.366, 0.902) (multiplicity 4)
Te (0.250, 0.080, 0.254) (multiplicity 4)
Te (0.250, 0.269, 0.738) (multiplicity 4)
Te (0.250, 0.379, 0.274) (multiplicity 4)

Computed properties:
DOS(E_F): 0.614 states/eV per atom

=====

arrangement b takes first place; second place is 0.514 eV/atom up.

=====

Arrangement a

ZrAlTe3 after structural relaxation. Source: Alexandria, functional GGA-PBE.

a b c (Å): 6.725 7.429 13.751
angles (deg): 90.00 118.20 90.00
Space group P2_1/c (No. 14)
Asymmetric unit:
Zr (0.167, 0.128, 0.246) (multiplicity 4)
Al (0.495, 0.105, 0.070) (multiplicity 4)
Te (0.065, 0.173, 0.902) (multiplicity 4)
Te (0.210, 0.648, 0.912) (multiplicity 4)
Te (0.417, 0.037, 0.737) (multiplicity 4)

Computed properties:
DOS(E_F): 0.305 states/eV per atom

=====

Arrangement b

ZrAlTe3 after structural relaxation. Source: Alexandria, functional GGA-PBE.

a b c (Å): 5.248 5.248 5.248
angles (deg): 90.00 90.00 90.00
Space group Pm-3m (No. 221)
Asymmetric unit:
Zr (0.000, 0.000, 0.000) (multiplicity 1)
Al (0.500, 0.500, 0.500) (multiplicity 1)
Te (0.000, 0.500, 0.500) (multiplicity 3)

Computed properties:
DOS(E_F): 1.117 states/eV per atom

=====

arrangement a takes first place; second place is 0.747 eV/atom up.

=====

Arrangement a

Zr2Al2Te after structural relaxation. Source: Alexandria, functional GGA-PBE.

a b c (Å): 7.471 7.471 4.011
angles (deg): 90.00 90.00 90.00
Space group P4/mbm (No. 127)
Asymmetric unit:
Zr (0.170, 0.330, 0.000) (multiplicity 4)
Al (0.125, 0.625, 0.500) (multiplicity 4)
Te (0.000, 0.000, 0.000) (multiplicity 2)

Computed properties:
DOS(E_F): 0.608 states/eV per atom

=====

Arrangement b

Zr2Al2Te after structural relaxation. Source: Alexandria, functional GGA-PBE.

a b c (Å): 7.430 7.430 3.788
angles (deg): 90.00 90.00 90.00
Space group P4/mbm (No. 127)
Asymmetric unit:
Zr (0.181, 0.319, 0.000) (multiplicity 4)
Al (0.118, 0.618, 0.500) (multiplicity 4)
Te (0.000, 0.000, 0.500) (multiplicity 2)

Computed properties:
DOS(E_F): 1.171 states/eV per atom

=====

arrangement a takes first place; second place is 0.093 eV/atom up.

=====

Arrangement a

Th3Al4 after structural relaxation. Source: Alexandria, functional GGA-PBE.

a b c (Å): 4.274 4.317 19.298
angles (deg): 90.00 90.00 90.00
Space group Immm (No. 71)
Asymmetric unit:
Th (0.000, 0.000, 0.000) (multiplicity 2)
Th (0.000, 0.500, 0.310) (multiplicity 4)
Al (0.000, 0.000, 0.434) (multiplicity 4)
Al (0.000, 0.500, 0.141) (multiplicity 4)

Computed properties:
DOS(E_F): 0.936 states/eV per atom

=====

Arrangement b

Th3Al4 after structural relaxation. Source: Alexandria, functional GGA-PBE.

a b c (Å): 4.290 11.283 14.400
angles (deg): 90.00 90.00 90.00
Space group Cmcm (No. 63)
Asymmetric unit:
Th (0.000, 0.007, 0.250) (multiplicity 4)
Th (0.000, 0.290, 0.600) (multiplicity 8)
Al (0.000, 0.000, 0.000) (multiplicity 4)
Al (0.000, 0.289, 0.250) (multiplicity 4)
Al (0.000, 0.423, 0.098) (multiplicity 8)

Computed properties:
DOS(E_F): 1.023 states/eV per atom

=====

arrangement a takes first place; second place is 0.017 eV/atom up.

=====

Arrangement a

ThTi2Al after structural relaxation. Source: Alexandria, functional GGA-PBE.

a b c (Å): 4.538 4.538 3.903
angles (deg): 90.00 90.00 90.00
Space group P4/mmm (No. 123)
Asymmetric unit:
Th (0.000, 0.000, 0.000) (multiplicity 1)
Ti (0.000, 0.500, 0.500) (multiplicity 2)
Al (0.500, 0.500, 0.000) (multiplicity 1)

Computed properties:
DOS(E_F): 1.332 states/eV per atom

=====

Arrangement b

ThTi2Al after structural relaxation. Source: Alexandria, functional GGA-PBE.

a b c (Å): 3.447 3.447 6.895
angles (deg): 90.00 90.00 90.00
Space group P4/mmm (No. 123)
Asymmetric unit:
Th (0.000, 0.000, 0.000) (multiplicity 1)
Ti (0.500, 0.500, 0.297) (multiplicity 2)
Al (0.000, 0.000, 0.500) (multiplicity 1)

Computed properties:
DOS(E_F): 1.559 states/eV per atom

=====

arrangement a takes first place; second place is 0.053 eV/atom up.

=====

Arrangement a

Th2TiAl after structural relaxation. Source: Alexandria, functional GGA-PBE.

a b c (Å): 4.709 4.709 4.466
angles (deg): 90.00 90.00 90.00
Space group P4/mmm (No. 123)
Asymmetric unit:
Th (0.000, 0.500, 0.000) (multiplicity 2)
Ti (0.000, 0.000, 0.500) (multiplicity 1)
Al (0.500, 0.500, 0.500) (multiplicity 1)

Computed properties:
DOS(E_F): 1.267 states/eV per atom

=====

Arrangement b

Th2TiAl after structural relaxation. Source: Alexandria, functional GGA-PBE.

a b c (Å): 7.440 7.440 7.440
angles (deg): 90.00 90.00 90.00
Space group Fm-3m (No. 225)
Asymmetric unit:
Th (0.250, 0.250, 0.250) (multiplicity 8)
Ti (0.000, 0.000, 0.000) (multiplicity 4)
Al (0.000, 0.000, 0.500) (multiplicity 4)

Computed properties:
DOS(E_F): 1.254 states/eV per atom

=====

Arrangement c

Th2TiAl after structural relaxation. Source: Alexandria, functional GGA-PBE.

a b c (Å): 3.2644 3.2644 33.5176
angles (deg): 90.00 90.00 120.00
Space group R-3m (No. 166, hexagonal axes)
Asymmetric unit:
Th (0.0000, 0.0000, 0.0877) (multiplicity 6)
Ti (0.0000, 0.0000, 0.0000) (multiplicity 3)
Al (0.0000, 0.0000, 0.5000) (multiplicity 3)

Computed properties:
DOS(E_F): 0.973 states/eV per atom

=====

arrangement a takes first place; second place is 0.097 eV/atom up.

=====

Arrangement a

Th2AlTl after structural relaxation. Source: Alexandria, functional GGA-PBE.

a b c (Å): 3.4593 3.4593 32.4110
angles (deg): 90.00 90.00 120.00
Space group R-3m (No. 166, hexagonal axes)
Asymmetric unit:
Th (0.0000, 0.0000, 0.2452) (multiplicity 6)
Al (0.0000, 0.0000, 0.5000) (multiplicity 3)
Tl (0.0000, 0.0000, 0.0000) (multiplicity 3)

Computed properties:
DOS(E_F): 1.232 states/eV per atom

=====

Arrangement b

Th2AlTl after structural relaxation. Source: Alexandria, functional GGA-PBE.

a b c (Å): 7.656 7.656 7.656
angles (deg): 90.00 90.00 90.00
Space group Fm-3m (No. 225)
Asymmetric unit:
Th (0.250, 0.250, 0.250) (multiplicity 8)
Al (0.000, 0.000, 0.000) (multiplicity 4)
Tl (0.000, 0.000, 0.500) (multiplicity 4)

Computed properties:
DOS(E_F): 1.152 states/eV per atom

=====

Arrangement c

Th2AlTl after structural relaxation. Source: Alexandria, functional GGA-PBE.

a b c (Å): 3.452 3.452 9.172
angles (deg): 90.00 90.00 90.00
Space group P4/mmm (No. 123)
Asymmetric unit:
Th (0.000, 0.000, 0.229) (multiplicity 2)
Al (0.500, 0.500, 0.000) (multiplicity 1)
Tl (0.500, 0.500, 0.500) (multiplicity 1)

Computed properties:
DOS(E_F): 1.206 states/eV per atom

=====

Arrangement d

Th2AlTl after structural relaxation. Source: Alexandria, functional GGA-PBE.

a b c (Å): 4.919 4.919 4.535
angles (deg): 90.00 90.00 90.00
Space group P4/mmm (No. 123)
Asymmetric unit:
Th (0.000, 0.500, 0.000) (multiplicity 2)
Al (0.000, 0.000, 0.500) (multiplicity 1)
Tl (0.500, 0.500, 0.500) (multiplicity 1)

Computed properties:
DOS(E_F): 0.868 states/eV per atom

=====

arrangement c takes first place; second place is 0.042 eV/atom up.